Run one
Entry from the Open Quantum Materials Database: a geometry-optimized ZnCoCuSi structure (PBE).

```
4
Lattice="0.000 2.874 2.874 2.874 0.000 2.874 2.874 2.874 0.000" Properties=species:S:1:pos:R:3 pbc="T T T"
Co 4.312 4.312 4.312
Cu 2.874 2.874 2.874
Si 0.000 0.000 0.000
Zn 1.437 1.437 1.437
```

Calculated values
- Crystal system: cubic
- Total magnetic moment: 0.000 Bohr magnetons per cell

Run two
Entry from the Open Quantum Materials Database: a geometry-optimized ZnCoCuSi structure (PBE).

```
4
Lattice="0.000 2.864 2.864 2.864 0.000 2.864 2.864 2.864 0.000" Properties=species:S:1:pos:R:3 pbc="T T T"
Co 2.864 2.864 2.864
Cu 0.000 0.000 0.000
Si 1.432 1.432 1.432
Zn 4.296 4.296 4.296
```

Calculated values
- Crystal system: cubic
- Total magnetic moment: 0.000 Bohr magnetons per cell

It turns out run two is the most stable, with the second structure 0.126 eV/atom higher.

Run one
Entry from the Open Quantum Materials Database: a geometry-optimized ZrCoCuSi structure (PBE).

```
4
Lattice="0.000 3.028 3.028 3.028 0.000 3.028 3.028 3.028 0.000" Properties=species:S:1:pos:R:3 pbc="T T T"
Co 4.542 4.542 4.542
Cu 1.514 1.514 1.514
Si 0.000 0.000 0.000
Zr 3.028 3.028 3.028
```

Calculated values
- Crystal system: cubic
- Total magnetic moment: 0.001 Bohr magnetons per cell

Run two
Entry from the Open Quantum Materials Database: a geometry-optimized ZrCoCuSi structure (PBE).

```
4
Lattice="0.000 3.048 3.048 3.048 0.000 3.048 3.048 3.048 0.000" Properties=species:S:1:pos:R:3 pbc="T T T"
Co 3.048 3.048 3.048
Cu 4.572 4.572 4.572
Si 1.524 1.524 1.524
Zr 0.000 0.000 0.000
```

Calculated values
- Crystal system: cubic
- Total magnetic moment: 0.253 Bohr magnetons per cell

It turns out run one is the most stable, with the second structure 0.147 eV/atom higher.